Density functional theory data (GGA-PBE) for a geometry-optimized Pr2YHfN4 structure.

abc: 3.472 6.121 6.031
angles: 71.05 90.00 90.00
Positions (direct):
N: 0.000 0.716 0.775
Y: 0.000 0.500 0.500
N: 0.500 0.723 0.242
Pr: 0.500 0.000 0.500
N: 0.500 0.277 0.758
Pr: 0.000 0.000 0.000
Hf: 0.500 0.500 0.000
N: 0.000 0.284 0.225

Calculated values
Symmetry   P2/m
Volume   15.15 Å³ per atom
Raw formation energy   -1516.7 meV/atom
N(E_F)   1.2 states/eV/cell



Density functional theory data (GGA-PBE) for a geometry-optimized MgZrCd2 structure.

abc: 5.404 5.404 5.404
angles: 131.33 131.33 71.29
Positions (direct):
Zr: 0.750 0.250 0.500
Cd: 0.000 0.000 0.000
Cd: 0.250 0.750 0.500
Mg: 0.500 0.500 0.000

Calculated values
Symmetry   I-4m2
Calculated formation energy   0.053 eV per atom
Volume   21.77 Å³ per atom
N(E_F)   4.2 states/eV/cell



Density functional theory data (GGA-PBE) for a geometry-optimized HgBi2IrO8 structure.

abc: 4.940 4.881 7.229
angles: 89.97 89.98 92.12
Positions (direct):
Ir: 0.000 0.000 0.000
Bi: 0.500 0.501 0.245
O: 0.678 0.708 0.500
O: 0.317 0.243 0.001
O: 0.151 0.787 0.803
O: 0.322 0.292 0.500
O: 0.150 0.786 0.197
Hg: 0.000 0.000 0.500
O: 0.683 0.757 0.999
Bi: 0.500 0.499 0.755
O: 0.850 0.214 0.803
O: 0.849 0.213 0.197

Calculated values
Symmetry   P2/m
Volume   14.52 Å³ per atom
Raw formation energy   -719.0 meV/atom
N(E_F)   5.3 states/eV/cell



Density functional theory data (GGA-PBE) for a geometry-optimized BaZn3F8 structure.

abc: 5.340 5.340 7.559
angles: 90.00 90.00 120.00
Positions (direct):
F: 0.295 0.294 0.173
Zn: 0.333 0.667 0.217
Zn: 0.000 0.000 0.000
F: 0.706 0.001 0.173
F: 0.705 0.706 0.827
F: 0.999 0.705 0.173
F: 0.667 0.333 0.527
Zn: 0.667 0.333 0.783
Ba: 0.000 0.000 0.500
F: 0.001 0.295 0.827
F: 0.294 0.999 0.827
F: 0.333 0.667 0.473

Calculated values
Symmetry   P-3
Volume   15.56 Å³ per atom
Raw formation energy   -2620.3 meV/atom
N(E_F)   0.0 states/eV/cell